Run i
First-principles (GGA-PBEsol) data for a relaxed KTl2Se crystal, as listed in Alexandria.

Unit cell a=3.809 b=5.403 c=11.123 alpha=90.00 beta=90.00 gamma=90.00
Sites, in units of the cell vectors:
K  0.000  0.000  0.000
K  0.500  0.500  0.500
Tl  0.000  0.500  0.212
Tl  0.000  0.500  0.788
Tl  0.500  0.000  0.288
Tl  0.500  0.000  0.712
Se  0.000  0.000  0.500
Se  0.500  0.500  0.000

Values from the calculation:
* SG: Immm (71)
* magnetization: 0.0 μB per formula unit
* calculated volume: 228.9 Å³/cell

---

Run ii
First-principles (GGA-PBEsol) data for a relaxed KTl2Se crystal, as listed in Alexandria.

Unit cell a=4.038 b=4.038 c=7.189 alpha=90.00 beta=90.00 gamma=90.00
Sites, in units of the cell vectors:
K  0.000  0.000  0.000
Tl  0.000  0.000  0.457
Tl  0.500  0.500  0.673
Se  0.500  0.500  0.261

Values from the calculation:
* SG: P4mm (99)
* magnetization: 0.0 μB per formula unit
* calculated volume: 117.2 Å³/cell

---

The data favor run i; the next most stable structure lies 0.059 eV/atom above it.